1.
Below is a relaxed Tl2MoIr crystal, with properties calculated at the PBE-GGA level.

It has space group Amm2 (No. 38), with a = 3.095 Å, b = 2.997 Å, c = 17.871 Å, α = 90.00°, β = 90.00° and γ = 90.00°. Symmetry generates all atoms from Tl at (0.000, 0.000, 0.000), Tl at (0.500, 0.000, 0.165), Mo at (0.500, 0.000, 0.375) and Ir at (0.000, 0.000, 0.791).

The density of states at the Fermi level is 5.10 states/eV per cell. The raw total energy is -5.82 eV/atom.

---

2.
Below is a relaxed TlMo2Ir crystal, with properties calculated at the PBE-GGA level.

It has space group I-42d (No. 122), with a = 7.454 Å, b = 7.454 Å, c = 5.461 Å, α = 90.00°, β = 90.00° and γ = 90.00°. Symmetry generates all atoms from Tl at (0.000, 0.000, 0.000), Mo at (0.211, 0.250, 0.625) and Ir at (0.000, 0.000, 0.500).

The density of states at the Fermi level is 16.10 states/eV per cell. The raw total energy is -7.38 eV/atom.

---

3.
Below is a relaxed TlMo2Ir crystal, with properties calculated at the PBE-GGA level.

It has space group P4/mmm (No. 123), with a = 4.879 Å, b = 4.879 Å, c = 2.869 Å, α = 90.00°, β = 90.00° and γ = 90.00°. Symmetry generates all atoms from Tl at (0.000, 0.000, 0.000), Mo at (0.000, 0.500, 0.500) and Ir at (0.500, 0.500, 0.000).

The density of states at the Fermi level is 4.75 states/eV per cell. The raw total energy is -7.56 eV/atom.

---

4.
Below is a relaxed Tl2MoIr crystal, with properties calculated at the PBE-GGA level.

It has space group Immm (No. 71), with a = 3.065 Å, b = 5.320 Å, c = 9.601 Å, α = 90.00°, β = 90.00° and γ = 90.00°. Symmetry generates all atoms from Tl at (0.000, 0.000, 0.242), Mo at (0.000, 0.500, 0.000) and Ir at (0.000, 0.500, 0.500).

The density of states at the Fermi level is 7.22 states/eV per cell. The raw total energy is -5.35 eV/atom.

---

5.
Below is a relaxed Tl2MoIr crystal, with properties calculated at the PBE-GGA level.

It has space group C2/m (No. 12), with a = 9.251 Å, b = 3.054 Å, c = 5.496 Å, α = 90.00°, β = 100.81° and γ = 90.00°. Symmetry generates all atoms from Tl at (0.248, 0.000, 0.247), Mo at (0.000, 0.000, 0.500) and Ir at (0.000, 0.500, 0.000).

The density of states at the Fermi level is 7.88 states/eV per cell. The raw total energy is -5.37 eV/atom.

---

6.
Below is a relaxed Tl2MoIr crystal, with properties calculated at the PBE-GGA level.

It has space group I-4m2 (No. 119), with a = 4.170 Å, b = 4.170 Å, c = 8.826 Å, α = 90.00°, β = 90.00° and γ = 90.00°. Symmetry generates all atoms from Tl at (0.000, 0.000, 0.000), Tl at (0.000, 0.500, 0.250), Mo at (0.000, 0.000, 0.500) and Ir at (0.000, 0.500, 0.750).

The density of states at the Fermi level is 6.95 states/eV per cell. The raw total energy is -5.29 eV/atom.

---

7.
Below is a relaxed TlMo2Ir crystal, with properties calculated at the PBE-GGA level.

It has space group C2/m (No. 12), with a = 5.402 Å, b = 8.740 Å, c = 2.857 Å, α = 90.00°, β = 90.21° and γ = 90.00°. Symmetry generates all atoms from Tl at (0.000, 0.000, 0.000), Mo at (0.250, 0.250, 0.500) and Ir at (0.000, 0.500, 0.000).

The density of states at the Fermi level is 6.24 states/eV per cell. The raw total energy is -7.73 eV/atom.

---

8.
Below is a relaxed Tl2MoIr crystal, with properties calculated at the PBE-GGA level.

It has space group P4/mmm (No. 123), with a = 4.834 Å, b = 4.834 Å, c = 3.219 Å, α = 90.00°, β = 90.00° and γ = 90.00°. Symmetry generates all atoms from Tl at (0.000, 0.500, 0.000), Mo at (0.000, 0.000, 0.500) and Ir at (0.500, 0.500, 0.500).

The density of states at the Fermi level is 3.99 states/eV per cell. The raw total energy is -5.31 eV/atom.

---

Formation enthalpy at 0 K across the listed records, respectively: 0.29; 0.84; 0.66; 0.76; 0.74; 0.81; 0.49; 0.80 eV/atom.